No. 1
First-principles (GGA-PBE) data for Pm7Pr2Sn2 after structural relaxation, as listed in Alexandria.

Values from the calculation:
SG = Imm2, No. 44

a b c (Å): 10.834 10.834 10.834
angles (deg): 157.95 58.43 126.64
Fractional positions:
Pm  0.000  0.000  0.000
Pm  0.312  0.452  0.860
Pm  0.324  0.653  0.671
Pm  0.592  0.452  0.140
Pm  0.632  0.275  0.357
Pm  0.918  0.275  0.643
Pm  0.982  0.653  0.329
Pr  0.316  0.816  0.500
Pr  0.648  0.648  0.000
Sn  0.181  0.944  0.237
Sn  0.707  0.944  0.763

No. 2
First-principles (GGA-PBE) data for Pm3Pr3Sn5 after structural relaxation, as listed in Alexandria.

Values from the calculation:
SG = P-62m, No. 189

a b c (Å): 10.971 10.971 3.489
angles (deg): 90.00 90.00 120.00
Fractional positions:
Pm  0.000  0.428  0.000
Pm  0.428  0.000  0.000
Pm  0.572  0.572  0.000
Pr  0.000  0.698  0.500
Pr  0.302  0.302  0.500
Pr  0.698  0.000  0.500
Sn  0.000  0.158  0.000
Sn  0.158  0.000  0.000
Sn  0.333  0.667  0.000
Sn  0.667  0.333  0.000
Sn  0.842  0.842  0.000

No. 3
First-principles (GGA-PBE) data for Pm3Pr2Sn4 after structural relaxation, as listed in Alexandria.

Values from the calculation:
SG = Cmce, No. 64

a b c (Å): 9.458 9.458 9.139
angles (deg): 90.00 90.00 135.49
Fractional positions:
Pm  0.000  0.000  0.000
Pm  0.044  0.456  0.250
Pm  0.456  0.044  0.750
Pm  0.500  0.500  0.500
Pm  0.544  0.956  0.250
Pm  0.956  0.544  0.750
Pr  0.110  0.890  0.410
Pr  0.390  0.610  0.910
Pr  0.610  0.390  0.090
Pr  0.890  0.110  0.590
Sn  0.185  0.815  0.057
Sn  0.221  0.279  0.250
Sn  0.279  0.221  0.750
Sn  0.315  0.685  0.557
Sn  0.685  0.315  0.443
Sn  0.721  0.779  0.250
Sn  0.779  0.721  0.750
Sn  0.815  0.185  0.943

No. 4
First-principles (GGA-PBE) data for Pm2PrSn6 after structural relaxation, as listed in Alexandria.

Values from the calculation:
SG = Imm2, No. 44

a b c (Å): 9.551 9.551 9.551
angles (deg): 152.79 136.83 51.78
Fractional positions:
Pm  0.000  0.000  0.000
Pm  0.234  0.234  0.000
Pr  0.673  0.173  0.500
Sn  0.021  0.810  0.212
Sn  0.216  0.426  0.790
Sn  0.321  0.610  0.711
Sn  0.598  0.810  0.788
Sn  0.636  0.426  0.210
Sn  0.899  0.610  0.289

No. 5
First-principles (GGA-PBE) data for Pm5PrSn5 after structural relaxation, as listed in Alexandria.

Values from the calculation:
SG = C2/m, No. 12

a b c (Å): 7.871 7.871 8.738
angles (deg): 105.93 105.93 47.46
Fractional positions:
Pm  0.000  0.000  0.000
Pm  0.330  0.330  0.663
Pm  0.334  0.334  0.166
Pm  0.666  0.666  0.834
Pm  0.670  0.670  0.337
Pr  0.000  0.000  0.500
Sn  0.165  0.165  0.326
Sn  0.166  0.166  0.838
Sn  0.500  0.500  0.500
Sn  0.834  0.834  0.162
Sn  0.835  0.835  0.674

No. 6
First-principles (GGA-PBE) data for Pm2Pr3Sn4 after structural relaxation, as listed in Alexandria.

Values from the calculation:
SG = P2_1/c, No. 14

a b c (Å): 8.534 8.567 8.212
angles (deg): 90.00 110.19 90.00
Fractional positions:
Pm  0.246  0.171  0.240
Pm  0.246  0.329  0.740
Pm  0.754  0.671  0.260
Pm  0.754  0.829  0.760
Pr  0.194  0.681  0.067
Pr  0.194  0.819  0.567
Pr  0.500  0.000  0.000
Pr  0.500  0.500  0.500
Pr  0.806  0.181  0.433
Pr  0.806  0.319  0.933
Sn  0.079  0.037  0.840
Sn  0.079  0.463  0.340
Sn  0.486  0.632  0.868
Sn  0.486  0.868  0.368
Sn  0.514  0.132  0.632
Sn  0.514  0.368  0.132
Sn  0.921  0.537  0.660
Sn  0.921  0.963  0.160

No. 7
First-principles (GGA-PBE) data for Pm7PrSn5 after structural relaxation, as listed in Alexandria.

Values from the calculation:
SG = Imm2, No. 44

a b c (Å): 8.479 8.479 8.479
angles (deg): 134.51 97.19 100.00
Fractional positions:
Pm  0.000  0.000  0.000
Pm  0.048  0.711  0.337
Pm  0.331  0.331  0.000
Pm  0.375  0.711  0.663
Pm  0.475  0.975  0.500
Pm  0.551  0.225  0.326
Pm  0.899  0.225  0.674
Pr  0.656  0.656  0.000
Sn  0.232  0.227  0.522
Sn  0.232  0.711  0.005
Sn  0.706  0.227  0.995
Sn  0.706  0.711  0.478
Sn  0.964  0.464  0.500

No. 8
First-principles (GGA-PBE) data for PmPr6Sn4 after structural relaxation, as listed in Alexandria.

Values from the calculation:
SG = I-42m, No. 121

a b c (Å): 8.367 8.367 8.367
angles (deg): 121.65 121.65 87.17
Fractional positions:
Pm  0.000  0.000  0.000
Pr  0.000  0.500  0.500
Pr  0.177  0.494  0.000
Pr  0.494  0.177  0.000
Pr  0.500  0.000  0.500
Pr  0.506  0.506  0.684
Pr  0.823  0.823  0.316
Sn  0.172  0.172  0.543
Sn  0.370  0.828  0.000
Sn  0.630  0.630  0.457
Sn  0.828  0.370  0.000

No. 9
First-principles (GGA-PBE) data for Pm5Pr2Sn5 after structural relaxation, as listed in Alexandria.

Values from the calculation:
SG = C2/m, No. 12

a b c (Å): 7.736 7.736 13.118
angles (deg): 106.37 106.37 33.58
Fractional positions:
Pm  0.000  0.000  0.000
Pm  0.158  0.158  0.543
Pm  0.231  0.231  0.849
Pm  0.769  0.769  0.151
Pm  0.842  0.842  0.457
Pr  0.452  0.452  0.718
Pr  0.548  0.548  0.282
Sn  0.206  0.206  0.302
Sn  0.382  0.382  0.070
Sn  0.500  0.500  0.500
Sn  0.618  0.618  0.930
Sn  0.794  0.794  0.698

No. 10
First-principles (GGA-PBE) data for Pm2Pr3Sn4 after structural relaxation, as listed in Alexandria.

Values from the calculation:
SG = C2/m, No. 12

a b c (Å): 7.284 7.284 10.333
angles (deg): 116.91 116.91 36.82
Fractional positions:
Pm  0.172  0.172  0.336
Pm  0.828  0.828  0.664
Pr  0.127  0.127  0.698
Pr  0.500  0.500  0.000
Pr  0.873  0.873  0.302
Sn  0.203  0.203  0.054
Sn  0.432  0.432  0.577
Sn  0.568  0.568  0.423
Sn  0.797  0.797  0.946

No. 11
First-principles (GGA-PBE) data for Pm2PrSn after structural relaxation, as listed in Alexandria.

Values from the calculation:
SG = R3m, No. 160

a b c (Å): 3.671 3.671 33.605
angles (deg): 90.00 90.00 120.00
Fractional positions:
Pm  0.000  0.000  0.000
Pm  0.000  0.000  0.180
Pm  0.333  0.667  0.667
Pm  0.333  0.667  0.847
Pm  0.667  0.333  0.333
Pm  0.667  0.333  0.513
Pr  0.000  0.000  0.757
Pr  0.333  0.667  0.423
Pr  0.667  0.333  0.090
Sn  0.000  0.000  0.590
Sn  0.333  0.667  0.257
Sn  0.667  0.333  0.924

No. 12
First-principles (GGA-PBE) data for PmPrSn3 after structural relaxation, as listed in Alexandria.

Values from the calculation:
SG = C2/c, No. 15

a b c (Å): 8.596 8.596 8.977
angles (deg): 102.24 102.24 106.30
Fractional positions:
Pm  0.020  0.721  0.557
Pm  0.279  0.980  0.943
Pm  0.721  0.020  0.057
Pm  0.980  0.279  0.443
Pr  0.122  0.878  0.250
Pr  0.434  0.566  0.750
Pr  0.566  0.434  0.250
Pr  0.878  0.122  0.750
Sn  0.079  0.547  0.859
Sn  0.129  0.220  0.133
Sn  0.220  0.129  0.633
Sn  0.284  0.579  0.379
Sn  0.421  0.716  0.121
Sn  0.453  0.921  0.641
Sn  0.547  0.079  0.359
Sn  0.579  0.284  0.879
Sn  0.716  0.421  0.621
Sn  0.780  0.871  0.367
Sn  0.871  0.780  0.867
Sn  0.921  0.453  0.141

No. 13
First-principles (GGA-PBE) data for PmPr2Sn after structural relaxation, as listed in Alexandria.

Values from the calculation:
SG = Fm-3m, No. 225

a b c (Å): 7.925 7.925 7.925
angles (deg): 90.00 90.00 90.00
Fractional positions:
Pm  0.000  0.000  0.000
Pm  0.000  0.500  0.500
Pm  0.500  0.000  0.500
Pm  0.500  0.500  0.000
Pr  0.250  0.250  0.250
Pr  0.250  0.250  0.750
Pr  0.250  0.750  0.250
Pr  0.250  0.750  0.750
Pr  0.750  0.250  0.250
Pr  0.750  0.250  0.750
Pr  0.750  0.750  0.250
Pr  0.750  0.750  0.750
Sn  0.000  0.000  0.500
Sn  0.000  0.500  0.000
Sn  0.500  0.000  0.000
Sn  0.500  0.500  0.500

No. 14
First-principles (GGA-PBE) data for PmPr5Sn3 after structural relaxation, as listed in Alexandria.

Values from the calculation:
SG = I4/mcm, No. 140

a b c (Å): 10.127 10.127 10.127
angles (deg): 131.42 131.42 71.14
Fractional positions:
Pm  0.250  0.750  0.500
Pm  0.750  0.250  0.500
Pr  0.000  0.000  0.000
Pr  0.066  0.566  0.901
Pr  0.165  0.066  0.500
Pr  0.335  0.835  0.901
Pr  0.434  0.335  0.500
Pr  0.500  0.500  0.000
Pr  0.566  0.665  0.500
Pr  0.665  0.165  0.099
Pr  0.835  0.934  0.500
Pr  0.934  0.434  0.099
Sn  0.118  0.382  0.500
Sn  0.250  0.250  0.000
Sn  0.382  0.882  0.263
Sn  0.618  0.118  0.737
Sn  0.750  0.750  0.000
Sn  0.882  0.618  0.500

No. 15
First-principles (GGA-PBE) data for PmPr3Sn12 after structural relaxation, as listed in Alexandria.

Values from the calculation:
SG = P4/mmm, No. 123

a b c (Å): 4.803 4.803 18.961
angles (deg): 90.00 90.00 90.00
Fractional positions:
Pm  0.000  0.000  0.000
Pr  0.000  0.000  0.249
Pr  0.000  0.000  0.500
Pr  0.000  0.000  0.751
Sn  0.000  0.500  0.123
Sn  0.000  0.500  0.374
Sn  0.000  0.500  0.626
Sn  0.000  0.500  0.877
Sn  0.500  0.000  0.123
Sn  0.500  0.000  0.374
Sn  0.500  0.000  0.626
Sn  0.500  0.000  0.877
Sn  0.500  0.500  0.000
Sn  0.500  0.500  0.249
Sn  0.500  0.500  0.500
Sn  0.500  0.500  0.751

No. 16
First-principles (GGA-PBE) data for PmPr12Sn3 after structural relaxation, as listed in Alexandria.

Values from the calculation:
SG = P4/mmm, No. 123

a b c (Å): 5.021 5.021 20.487
angles (deg): 90.00 90.00 90.00
Fractional positions:
Pm  0.000  0.000  0.000
Pr  0.000  0.500  0.134
Pr  0.000  0.500  0.379
Pr  0.000  0.500  0.621
Pr  0.000  0.500  0.866
Pr  0.500  0.000  0.134
Pr  0.500  0.000  0.379
Pr  0.500  0.000  0.621
Pr  0.500  0.000  0.866
Pr  0.500  0.500  0.000
Pr  0.500  0.500  0.258
Pr  0.500  0.500  0.500
Pr  0.500  0.500  0.742
Sn  0.000  0.000  0.256
Sn  0.000  0.000  0.500
Sn  0.000  0.000  0.744

No. 17
First-principles (GGA-PBE) data for Pm3Pr2Sn3 after structural relaxation, as listed in Alexandria.

Values from the calculation:
SG = P6_3/mcm, No. 193

a b c (Å): 9.301 9.301 6.838
angles (deg): 90.00 90.00 120.00
Fractional positions:
Pm  0.000  0.241  0.250
Pm  0.000  0.759  0.750
Pm  0.241  0.000  0.250
Pm  0.241  0.241  0.750
Pm  0.759  0.000  0.750
Pm  0.759  0.759  0.250
Pr  0.333  0.667  0.000
Pr  0.333  0.667  0.500
Pr  0.667  0.333  0.000
Pr  0.667  0.333  0.500
Sn  0.000  0.392  0.750
Sn  0.000  0.608  0.250
Sn  0.392  0.000  0.750
Sn  0.392  0.392  0.250
Sn  0.608  0.000  0.250
Sn  0.608  0.608  0.750

No. 18
First-principles (GGA-PBE) data for Pm6PrSn6 after structural relaxation, as listed in Alexandria.

Values from the calculation:
SG = P6/mmm, No. 191

a b c (Å): 7.358 7.358 9.280
angles (deg): 90.00 90.00 120.00
Fractional positions:
Pm  0.000  0.500  0.247
Pm  0.000  0.500  0.753
Pm  0.500  0.000  0.247
Pm  0.500  0.000  0.753
Pm  0.500  0.500  0.247
Pm  0.500  0.500  0.753
Pr  0.000  0.000  0.500
Sn  0.000  0.000  0.159
Sn  0.000  0.000  0.841
Sn  0.333  0.667  0.000
Sn  0.333  0.667  0.500
Sn  0.667  0.333  0.000
Sn  0.667  0.333  0.500

No. 19
First-principles (GGA-PBE) data for PmPr6Sn3 after structural relaxation, as listed in Alexandria.

Values from the calculation:
SG = Cmc2_1, No. 36

a b c (Å): 9.561 9.561 7.906
angles (deg): 90.00 90.00 108.58
Fractional positions:
Pm  0.211  0.789  0.500
Pm  0.789  0.211  0.000
Pr  0.048  0.952  0.174
Pr  0.064  0.458  0.683
Pr  0.253  0.327  0.001
Pr  0.287  0.713  0.023
Pr  0.327  0.253  0.501
Pr  0.458  0.064  0.183
Pr  0.542  0.936  0.683
Pr  0.673  0.747  0.001
Pr  0.713  0.287  0.523
Pr  0.747  0.673  0.501
Pr  0.936  0.542  0.183
Pr  0.952  0.048  0.674
Sn  0.018  0.262  0.328
Sn  0.262  0.018  0.828
Sn  0.424  0.576  0.706
Sn  0.576  0.424  0.206
Sn  0.738  0.982  0.328
Sn  0.982  0.738  0.828

No. 20
First-principles (GGA-PBE) data for PmPr7Sn2 after structural relaxation, as listed in Alexandria.

Values from the calculation:
SG = Cmmm, No. 65

a b c (Å): 9.215 9.215 5.738
angles (deg): 90.00 90.00 118.91
Fractional positions:
Pm  0.000  0.000  0.000
Pr  0.056  0.305  0.500
Pr  0.232  0.768  0.000
Pr  0.305  0.056  0.500
Pr  0.500  0.500  0.500
Pr  0.695  0.944  0.500
Pr  0.768  0.232  0.000
Pr  0.944  0.695  0.500
Sn  0.303  0.697  0.500
Sn  0.697  0.303  0.500

Energy of formation, record by record: -1.7 -1.6 -5.4 -4.4 -5.3 -6.9 -6.3 -4.2 -6.5 -5.4 -0.8 -2.6 -1.0 -2.9 -8.1 -5.2 -5.5 -6.0 -3.7 1.5 eV/f.u.
VASP energy, record by record: -4.77 -4.56 -5.03 -4.75 -4.90 -5.20 -4.95 -4.87 -4.98 -5.03 -4.78 -4.82 -4.84 -4.84 -4.70 -4.95 -5.16 -4.87 -4.92 -4.47 eV/atom